Entry 1:
Below is Tb6Dy2Ho3In after structural relaxation, with properties calculated at the PBE-GGA level.

The structure in CIF format:
```
data_Tb6Dy2Ho3In
_chemical_formula_sum 'Tb12 Dy4 Ho6 In2'
_cell_length_a 6.0852
_cell_length_b 10.5516
_cell_length_c 11.6266
_cell_angle_alpha 90.00
_cell_angle_beta 100.10
_cell_angle_gamma 90.00
_symmetry_space_group_name_H-M 'C 1 2/m 1'
_symmetry_Int_Tables_number 12
_symmetry_space_group_name_Hall '-C 2y'
loop_
_atom_site_label
_atom_site_type_symbol
_atom_site_fract_x
_atom_site_fract_y
_atom_site_fract_z
Tb1 Tb 0.2459 0.0000 0.2509
Tb2 Tb 0.2466 0.1642 0.7477
Dy1 Dy 0.0000 0.3341 0.5000
Ho1 Ho 0.0000 0.1671 0.0000
Ho2 Ho 0.0000 0.5000 0.0000
In1 In 0.0000 0.0000 0.5000
```

Summary:
D(E_F)	14.6	states/eV/f.u.
energy of formation	-0.043	eV per atom
spin magnetization	0.002	Bohr magnetons per cell


Entry 2:
Below is Pa3Co2As4Ru2 after structural relaxation, with properties calculated at the PBE-GGA level.

The structure in CIF format:
```
data_Pa3Co2As4Ru2
_chemical_formula_sum 'Pa3 Co2 As4 Ru2'
_cell_length_a 4.0608
_cell_length_b 4.0608
_cell_length_c 14.1968
_cell_angle_alpha 90.00
_cell_angle_beta 90.00
_cell_angle_gamma 120.00
_symmetry_space_group_name_H-M 'P -3 m 1'
_symmetry_Int_Tables_number 164
_symmetry_space_group_name_Hall '-P 3 2"'
loop_
_atom_site_label
_atom_site_type_symbol
_atom_site_fract_x
_atom_site_fract_y
_atom_site_fract_z
Pa1 Pa 0.0000 0.0000 0.0000
Pa2 Pa 0.0000 0.0000 0.2655
Co1 Co 0.3333 0.6667 0.1492
As1 As 0.3333 0.6667 0.3918
As2 As 0.3333 0.6667 0.8708
Ru1 Ru 0.3333 0.6667 0.5689
```

Summary:
D(E_F)	6.5	states/eV/f.u.
energy of formation	-0.702	eV per atom
spin magnetization	0.000	Bohr magnetons per cell


Entry 3:
Below is Sm3AgGe6Pd2 after structural relaxation, with properties calculated at the PBE-GGA level.

The structure in CIF format:
```
data_Sm3AgGe6Pd2
_chemical_formula_sum 'Sm3 Ag1 Ge6 Pd2'
_cell_length_a 5.9664
_cell_length_b 5.9664
_cell_length_c 8.3110
_cell_angle_alpha 90.00
_cell_angle_beta 90.00
_cell_angle_gamma 120.00
_symmetry_space_group_name_H-M 'P -3 m 1'
_symmetry_Int_Tables_number 164
_symmetry_space_group_name_Hall '-P 3 2"'
loop_
_atom_site_label
_atom_site_type_symbol
_atom_site_fract_x
_atom_site_fract_y
_atom_site_fract_z
Sm1 Sm 0.0000 0.0000 0.0000
Sm2 Sm 0.3333 0.6667 0.6074
Ag1 Ag 0.0000 0.0000 0.5000
Ge1 Ge 0.1881 0.3762 0.2693
Pd1 Pd 0.3333 0.6667 0.0093
```

Summary:
D(E_F)	4.0	states/eV/f.u.
energy of formation	-0.395	eV per atom
spin magnetization	0.000	Bohr magnetons per cell


Entry 4:
Below is SrPd2Pt2 after structural relaxation, with properties calculated at the PBE-GGA level.

The structure in CIF format:
```
data_SrPd2Pt2
_chemical_formula_sum 'Sr2 Pd4 Pt4'
_cell_length_a 7.9356
_cell_length_b 7.9356
_cell_length_c 2.9346
_cell_angle_alpha 90.00
_cell_angle_beta 90.00
_cell_angle_gamma 90.00
_symmetry_space_group_name_H-M 'P 4/m b m'
_symmetry_Int_Tables_number 127
_symmetry_space_group_name_Hall '-P 4 2ab'
loop_
_atom_site_label
_atom_site_type_symbol
_atom_site_fract_x
_atom_site_fract_y
_atom_site_fract_z
Sr1 Sr 0.0000 0.0000 0.0000
Pd1 Pd 0.1253 0.3747 0.0000
Pt1 Pt 0.1733 0.6733 0.5000
```

Summary:
D(E_F)	6.6	states/eV/f.u.
energy of formation	-0.296	eV per atom
offset from the most stable computed form	10.5	meV/atom
spin magnetization	0.000	Bohr magnetons per cell


Repeat the fourth record exactly.
Below is SrPd2Pt2 after structural relaxation, with properties calculated at the PBE-GGA level.

The structure in CIF format:
```
data_SrPd2Pt2
_chemical_formula_sum 'Sr2 Pd4 Pt4'
_cell_length_a 7.9356
_cell_length_b 7.9356
_cell_length_c 2.9346
_cell_angle_alpha 90.00
_cell_angle_beta 90.00
_cell_angle_gamma 90.00
_symmetry_space_group_name_H-M 'P 4/m b m'
_symmetry_Int_Tables_number 127
_symmetry_space_group_name_Hall '-P 4 2ab'
loop_
_atom_site_label
_atom_site_type_symbol
_atom_site_fract_x
_atom_site_fract_y
_atom_site_fract_z
Sr1 Sr 0.0000 0.0000 0.0000
Pd1 Pd 0.1253 0.3747 0.0000
Pt1 Pt 0.1733 0.6733 0.5000
```

Summary:
D(E_F)	6.6	states/eV/f.u.
energy of formation	-0.296	eV per atom
offset from the most stable computed form	10.5	meV/atom
spin magnetization	0.000	Bohr magnetons per cell


Q: Which value of spin magnetization does entry 2 give?
A: 0.000 Bohr magnetons per cell


Q: Number 3 is which compound?
A: Sm3AgGe6Pd2